Version A
V2Ni5Rh PBE-GGA relaxed; density = 8.793 g cm⁻³; crystal system = orthorhombic; space-group type = No. 55
1.0
5.141 0.000 0.000
0.000 10.258 0.000
0.000 0.000 3.568
V Ni Rh
4 10 2
direct
0.249 0.127 0.000
0.251 0.627 0.000
0.749 0.373 0.000
0.751 0.873 0.000
0.000 0.500 0.500
0.014 0.748 0.500
0.235 0.370 0.000
0.265 0.870 0.000
0.486 0.248 0.500
0.500 0.000 0.500
0.514 0.752 0.500
0.735 0.130 0.000
0.765 0.630 0.000
0.986 0.252 0.500
0.000 0.000 0.500
0.500 0.500 0.500


Version B
V2Ni5Rh PBE-GGA relaxed; density = 8.672 g cm⁻³; crystal system = orthorhombic; space-group type = No. 71
1.0
-1.278 3.937 4.740
1.278 -3.937 4.740
1.278 3.937 -4.740
V Ni Rh
2 5 1
direct
0.243 0.243 0.000
0.757 0.757 0.000
0.141 0.870 0.272
0.402 0.130 0.272
0.500 0.500 0.000
0.598 0.870 0.728
0.859 0.130 0.728
0.000 0.500 0.500


Least stable structure among those shown: version B.